Below is Pm3SmCu after structural relaxation, with properties calculated at the GGA-PBE level.

## Properties
**ΔH_f (0 K)**: 147 meV/atom
**Symmetry**: Pm-3m
**Spin magnetization**: 0.00 Bohr magnetons per cell
**Raw total energy**: -4.4660 eV/atom

a = 5.5232 Å, b = 5.5232 Å, c = 5.5232 Å
α = 90.00°, β = 90.00°, γ = 90.00°
Fractional coordinates of all 5 atoms:
Sm (0.5000, 0.5000, 0.5000)
Pm (0.5000, 0.0000, 0.0000)
Cu (0.0000, 0.0000, 0.0000)
Pm (0.0000, 0.5000, 0.0000)
Pm (0.0000, 0.0000, 0.5000)